<a>
First-principles (PBE-GGA) data for a relaxed Sc2TcBr crystal, as listed in the Alexandria database.

CIF file:
```
data_Sc2TcBr
_space_group_name_H-M_alt 'P 1'
_space_group_IT_number 1
_space_group_name_Hall 'P 1'
_cell_length_a 3.3069
_cell_length_b 3.3862
_cell_length_c 7.7315
_cell_angle_alpha 91.11
_cell_angle_beta 90.00
_cell_angle_gamma 90.00
loop_
_atom_site_label
_atom_site_fract_x
_atom_site_fract_y
_atom_site_fract_z
Sc1 0.0000 0.7687 0.0555
Sc2 0.0000 0.7313 0.4445
Tc1 0.5000 0.2500 0.2500
Br1 0.5000 0.7500 0.7500
```

For the density, the calculation gives 5.1 g cm⁻³. For the size of the total moment, the calculation gives 0.0 μB/cell.

=====

<b>
First-principles (PBE-GGA) data for a relaxed Sc2TcBr crystal, as listed in the Alexandria database.

CIF file:
```
data_Sc2TcBr
_space_group_name_H-M_alt 'P 1'
_space_group_IT_number 1
_space_group_name_Hall 'P 1'
_cell_length_a 9.9165
_cell_length_b 9.9165
_cell_length_c 9.9165
_cell_angle_alpha 18.93
_cell_angle_beta 18.93
_cell_angle_gamma 18.93
loop_
_atom_site_label
_atom_site_fract_x
_atom_site_fract_y
_atom_site_fract_z
Sc1 0.2431 0.2431 0.2431
Sc2 0.0066 0.0066 0.0066
Tc1 0.5111 0.5111 0.5111
Br1 0.7392 0.7392 0.7392
```

For the density, the calculation gives 5.0 g cm⁻³. For the size of the total moment, the calculation gives 1.6 μB/cell.

=====

<c>
First-principles (PBE-GGA) data for a relaxed Sc2TcBr crystal, as listed in the Alexandria database.

CIF file:
```
data_Sc2TcBr
_space_group_name_H-M_alt 'P 1'
_space_group_IT_number 1
_space_group_name_Hall 'P 1'
_cell_length_a 7.8432
_cell_length_b 7.8432
_cell_length_c 7.8432
_cell_angle_alpha 154.26
_cell_angle_beta 155.34
_cell_angle_gamma 35.95
loop_
_atom_site_label
_atom_site_fract_x
_atom_site_fract_y
_atom_site_fract_z
Tc1 0.4483 0.4483 0.0000
Sc1 0.3244 0.8244 0.5000
Br1 0.6982 0.1982 0.5000
Sc2 0.0290 0.0290 0.0000
```

For the density, the calculation gives 5.1 g cm⁻³. For the size of the total moment, the calculation gives 0.0 μB/cell.

=====

<d>
First-principles (PBE-GGA) data for a relaxed Sc2TcBr crystal, as listed in the Alexandria database.

CIF file:
```
data_Sc2TcBr
_space_group_name_H-M_alt 'P 1'
_space_group_IT_number 1
_space_group_name_Hall 'P 1'
_cell_length_a 5.2934
_cell_length_b 5.2934
_cell_length_c 5.2934
_cell_angle_alpha 141.63
_cell_angle_beta 119.44
_cell_angle_gamma 74.01
loop_
_atom_site_label
_atom_site_fract_x
_atom_site_fract_y
_atom_site_fract_z
Br1 0.7500 0.2500 0.5000
Sc1 0.4899 0.4899 0.0000
Tc1 0.2500 0.7500 0.5000
Sc2 0.0101 0.0101 0.0000
```

For the density, the calculation gives 5.7 g cm⁻³. For the size of the total moment, the calculation gives 0.0 μB/cell.

=====

Result of the stability comparison: <b> is the least stable of them.

=====

<a>
First-principles (PBE-GGA) data for a relaxed Sc2TcBr crystal, as listed in the Alexandria database.

CIF file:
```
data_Sc2TcBr
_space_group_name_H-M_alt 'P 1'
_space_group_IT_number 1
_space_group_name_Hall 'P 1'
_cell_length_a 5.8072
_cell_length_b 5.8072
_cell_length_c 5.8072
_cell_angle_alpha 141.33
_cell_angle_beta 141.33
_cell_angle_gamma 55.84
loop_
_atom_site_label
_atom_site_fract_x
_atom_site_fract_y
_atom_site_fract_z
Br1 0.7500 0.2500 0.5000
Sc1 0.0000 0.0000 0.0000
Tc1 0.5000 0.5000 0.0000
Sc2 0.2500 0.7500 0.5000
```

For the density, the calculation gives 5.9 g cm⁻³. For the size of the total moment, the calculation gives 0.0 μB/cell.

=====

<b>
First-principles (PBE-GGA) data for a relaxed Sc2TcBr crystal, as listed in the Alexandria database.

CIF file:
```
data_Sc2TcBr
_space_group_name_H-M_alt 'P 1'
_space_group_IT_number 1
_space_group_name_Hall 'P 1'
_cell_length_a 4.7407
_cell_length_b 4.7407
_cell_length_c 4.7407
_cell_angle_alpha 60.00
_cell_angle_beta 60.00
_cell_angle_gamma 60.00
loop_
_atom_site_label
_atom_site_fract_x
_atom_site_fract_y
_atom_site_fract_z
Sc1 0.2500 0.2500 0.2500
Br1 0.5000 0.5000 0.5000
Tc1 0.7500 0.7500 0.7500
Sc2 0.0000 0.0000 0.0000
```

For the density, the calculation gives 5.9 g cm⁻³. For the size of the total moment, the calculation gives 0.0 μB/cell.

=====

Result of the stability comparison: <b> is the least stable of them.